<a>
Computed, not measured: Na2Si2Au after structural relaxation at the PBE level of DFT.

CIF file:
```
data_Na2Si2Au
_chemical_formula_sum 'Na4 Si4 Au2'
_cell_length_a 6.368
_cell_length_b 6.368
_cell_length_c 4.950
_cell_angle_alpha 90.00
_cell_angle_beta 90.00
_cell_angle_gamma 90.00
_space_group_name_H-M_alt 'P 4/m b m'
_space_group_IT_number 127
_space_group_name_Hall '-P 4 2ab'
loop_
_atom_site_label
_atom_site_fract_x
_atom_site_fract_y
_atom_site_fract_z
Na1 0.178 0.322 0.000
Si1 0.130 0.630 0.500
Au1 0.000 0.000 0.500
```

Computed properties:
total magnetic moment = 0.00 μB/f.u.
D(E_F) = 0.252 states/eV per atom

<b>
Computed, not measured: Na2Si2Au after structural relaxation at the PBE level of DFT.

CIF file:
```
data_Na2Si2Au
_chemical_formula_sum 'Na4 Si4 Au2'
_cell_length_a 3.938
_cell_length_b 3.938
_cell_length_c 13.006
_cell_angle_alpha 90.00
_cell_angle_beta 90.00
_cell_angle_gamma 90.00
_space_group_name_H-M_alt 'I 4/m m m'
_space_group_IT_number 139
_space_group_name_Hall '-I 4 2'
loop_
_atom_site_label
_atom_site_fract_x
_atom_site_fract_y
_atom_site_fract_z
Na1 0.000 0.500 0.250
Si1 0.000 0.000 0.085
Au1 0.000 0.000 0.500
```

Computed properties:
total magnetic moment = 0.00 μB/f.u.
D(E_F) = 0.248 states/eV per atom

It is <a> that is most stable; the runner-up trails by 477 meV/atom.

<a>
Computed, not measured: Na3SiAu after structural relaxation at the PBE level of DFT.

CIF file:
```
data_Na3SiAu
_chemical_formula_sum 'Na3 Si1 Au1'
_cell_length_a 5.442
_cell_length_b 5.442
_cell_length_c 5.442
_cell_angle_alpha 90.00
_cell_angle_beta 90.00
_cell_angle_gamma 90.00
_space_group_name_H-M_alt 'P m -3 m'
_space_group_IT_number 221
_space_group_name_Hall '-P 4 2 3'
loop_
_atom_site_label
_atom_site_fract_x
_atom_site_fract_y
_atom_site_fract_z
Na1 0.000 0.000 0.500
Si1 0.500 0.500 0.500
Au1 0.000 0.000 0.000
```

Computed properties:
total magnetic moment = 0.86 μB/f.u.
D(E_F) = 0.909 states/eV per atom

<b>
Computed, not measured: Na3SiAu after structural relaxation at the PBE level of DFT.

CIF file:
```
data_Na3SiAu
_chemical_formula_sum 'Na12 Si4 Au4'
_cell_length_a 9.917
_cell_length_b 8.753
_cell_length_c 7.445
_cell_angle_alpha 90.00
_cell_angle_beta 123.72
_cell_angle_gamma 90.00
_space_group_name_H-M_alt 'C 1 2/m 1'
_space_group_IT_number 12
_space_group_name_Hall '-C 2y'
loop_
_atom_site_label
_atom_site_fract_x
_atom_site_fract_y
_atom_site_fract_z
Na1 0.033 0.000 0.248
Na2 0.214 0.308 0.215
Si1 0.102 0.500 0.462
Au1 0.191 0.500 0.860
```

Computed properties:
total magnetic moment = 0.00 μB/f.u.
D(E_F) = 0.478 states/eV per atom

It is <b> that is most stable; the runner-up trails by 417 meV/atom.

<a>
Computed, not measured: NaSmAu after structural relaxation at the PBE level of DFT.

CIF file:
```
data_NaSmAu
_chemical_formula_sum 'Na4 Sm4 Au4'
_cell_length_a 6.134
_cell_length_b 5.907
_cell_length_c 9.618
_cell_angle_alpha 90.00
_cell_angle_beta 108.44
_cell_angle_gamma 90.00
_space_group_name_H-M_alt 'C 1 2/m 1'
_space_group_IT_number 12
_space_group_name_Hall '-C 2y'
loop_
_atom_site_label
_atom_site_fract_x
_atom_site_fract_y
_atom_site_fract_z
Na1 0.239 0.000 0.000
Sm1 0.184 0.500 0.365
Au1 0.151 0.000 0.301
```

Computed properties:
total magnetic moment = 0.00 μB/f.u.
D(E_F) = 0.687 states/eV per atom

<b>
Computed, not measured: NaSmAu after structural relaxation at the PBE level of DFT.

CIF file:
```
data_NaSmAu
_chemical_formula_sum 'Na2 Sm2 Au2'
_cell_length_a 3.780
_cell_length_b 3.780
_cell_length_c 11.661
_cell_angle_alpha 90.00
_cell_angle_beta 90.00
_cell_angle_gamma 90.00
_space_group_name_H-M_alt 'I 4 m m'
_space_group_IT_number 107
_space_group_name_Hall 'I 4 -2'
loop_
_atom_site_label
_atom_site_fract_x
_atom_site_fract_y
_atom_site_fract_z
Na1 0.000 0.000 0.000
Sm1 0.000 0.000 0.279
Au1 0.000 0.000 0.661
```

Computed properties:
total magnetic moment = 0.00 μB/f.u.
D(E_F) = 0.675 states/eV per atom

It is <a> that is most stable; the runner-up trails by 69 meV/atom.

<a>
Computed, not measured: NaSm2Au3 after structural relaxation at the PBE level of DFT.

CIF file:
```
data_NaSm2Au3
_chemical_formula_sum 'Na1 Sm2 Au3'
_cell_length_a 3.657
_cell_length_b 3.657
_cell_length_c 10.915
_cell_angle_alpha 90.00
_cell_angle_beta 90.00
_cell_angle_gamma 90.00
_space_group_name_H-M_alt 'P 4/m m m'
_space_group_IT_number 123
_space_group_name_Hall '-P 4 2'
loop_
_atom_site_label
_atom_site_fract_x
_atom_site_fract_y
_atom_site_fract_z
Na1 0.000 0.000 0.000
Sm1 0.000 0.000 0.327
Au1 0.500 0.500 0.177
Au2 0.500 0.500 0.500
```

Computed properties:
total magnetic moment = 0.00 μB/f.u.
D(E_F) = 0.627 states/eV per atom

<b>
Computed, not measured: NaSm2Au3 after structural relaxation at the PBE level of DFT.

CIF file:
```
data_NaSm2Au3
_chemical_formula_sum 'Na2 Sm4 Au6'
_cell_length_a 5.1298
_cell_length_b 5.1298
_cell_length_c 12.4805
_cell_angle_alpha 90.00
_cell_angle_beta 90.00
_cell_angle_gamma 120.00
_space_group_name_H-M_alt 'P -3 m 1'
_space_group_IT_number 164
_space_group_name_Hall '-P 3 2"'
loop_
_atom_site_label
_atom_site_fract_x
_atom_site_fract_y
_atom_site_fract_z
Na1 0.3333 0.6667 0.1694
Sm1 0.0000 0.0000 0.0000
Sm2 0.0000 0.0000 0.5000
Sm3 0.3333 0.6667 0.6811
Au1 0.0000 0.0000 0.2538
Au2 0.3333 0.6667 0.4306
Au3 0.3333 0.6667 0.9288
```

Computed properties:
total magnetic moment = 0.00 μB/f.u.
D(E_F) = 0.603 states/eV per atom

It is <b> that is most stable; the runner-up trails by 30 meV/atom.

<a>
Computed, not measured: NaSn2Au6 after structural relaxation at the PBE level of DFT.

CIF file:
```
data_NaSn2Au6
_chemical_formula_sum 'Na4 Sn8 Au24'
_cell_length_a 8.542
_cell_length_b 14.337
_cell_length_c 7.678
_cell_angle_alpha 90.00
_cell_angle_beta 121.24
_cell_angle_gamma 90.00
_space_group_name_H-M_alt 'C 1 2/c 1'
_space_group_IT_number 15
_space_group_name_Hall '-C 2yc'
loop_
_atom_site_label
_atom_site_fract_x
_atom_site_fract_y
_atom_site_fract_z
Na1 0.000 0.250 0.250
Sn1 0.250 0.095 0.000
Au1 0.119 0.079 0.562
Au2 0.120 0.421 0.563
Au3 0.163 0.250 0.740
```

Computed properties:
total magnetic moment = 0.00 μB/f.u.
D(E_F) = 0.329 states/eV per atom

<b>
Computed, not measured: NaSn2Au6 after structural relaxation at the PBE level of DFT.

CIF file:
```
data_NaSn2Au6
_chemical_formula_sum 'Na2 Sn4 Au12'
_cell_length_a 13.751
_cell_length_b 5.785
_cell_length_c 5.037
_cell_angle_alpha 90.00
_cell_angle_beta 92.15
_cell_angle_gamma 90.00
_space_group_name_H-M_alt 'C 1 2/m 1'
_space_group_IT_number 12
_space_group_name_Hall '-C 2y'
loop_
_atom_site_label
_atom_site_fract_x
_atom_site_fract_y
_atom_site_fract_z
Na1 0.000 0.000 0.000
Sn1 0.137 0.500 0.203
Au1 0.000 0.246 0.500
Au2 0.188 0.249 0.737
```

Computed properties:
total magnetic moment = 0.00 μB/f.u.
D(E_F) = 0.300 states/eV per atom

It is <a> that is most stable; the runner-up trails by 20 meV/atom.

<a>
Computed, not measured: Na2Sn2Au3 after structural relaxation at the PBE level of DFT.

CIF file:
```
data_Na2Sn2Au3
_chemical_formula_sum 'Na2 Sn2 Au3'
_cell_length_a 4.780
_cell_length_b 5.038
_cell_length_c 7.777
_cell_angle_alpha 101.06
_cell_angle_beta 90.14
_cell_angle_gamma 118.08
_space_group_name_H-M_alt 'P -1'
_space_group_IT_number 2
_space_group_name_Hall '-P 1'
loop_
_atom_site_label
_atom_site_fract_x
_atom_site_fract_y
_atom_site_fract_z
Na1 0.150 0.299 0.400
Sn1 0.439 0.879 0.192
Au1 0.000 0.000 0.000
Au2 0.242 0.486 0.804
```

Computed properties:
total magnetic moment = 0.00 μB/f.u.
D(E_F) = 0.166 states/eV per atom

<b>
Computed, not measured: Na2Sn2Au3 after structural relaxation at the PBE level of DFT.

CIF file:
```
data_Na2Sn2Au3
_chemical_formula_sum 'Na4 Sn4 Au6'
_cell_length_a 11.798
_cell_length_b 4.448
_cell_length_c 7.492
_cell_angle_alpha 90.00
_cell_angle_beta 120.45
_cell_angle_gamma 90.00
_space_group_name_H-M_alt 'C 1 2/m 1'
_space_group_IT_number 12
_space_group_name_Hall '-C 2y'
loop_
_atom_site_label
_atom_site_fract_x
_atom_site_fract_y
_atom_site_fract_z
Na1 0.140 0.000 0.264
Sn1 0.146 0.000 0.752
Au1 0.000 0.500 0.500
Au2 0.093 0.500 0.936
```

Computed properties:
total magnetic moment = 0.00 μB/f.u.
D(E_F) = 0.482 states/eV per atom

It is <b> that is most stable; the runner-up trails by 24 meV/atom.

<a>
Computed, not measured: Na8Sn2Au after structural relaxation at the PBE level of DFT.

CIF file:
```
data_Na8Sn2Au
_chemical_formula_sum 'Na16 Sn4 Au2'
_cell_length_a 9.669
_cell_length_b 12.369
_cell_length_c 5.347
_cell_angle_alpha 90.00
_cell_angle_beta 90.16
_cell_angle_gamma 90.00
_space_group_name_H-M_alt 'C 1 2/m 1'
_space_group_IT_number 12
_space_group_name_Hall '-C 2y'
loop_
_atom_site_label
_atom_site_fract_x
_atom_site_fract_y
_atom_site_fract_z
Na1 0.000 0.245 0.000
Na2 0.167 0.132 0.501
Na3 0.171 0.500 0.999
Sn1 0.000 0.379 0.500
Au1 0.000 0.000 0.000
```

Computed properties:
total magnetic moment = 0.00 μB/f.u.
D(E_F) = 0.422 states/eV per atom

<b>
Computed, not measured: Na8Sn2Au after structural relaxation at the PBE level of DFT.

CIF file:
```
data_Na8Sn2Au
_chemical_formula_sum 'Na16 Sn4 Au2'
_cell_length_a 17.688
_cell_length_b 5.458
_cell_length_c 7.169
_cell_angle_alpha 90.00
_cell_angle_beta 113.86
_cell_angle_gamma 90.00
_space_group_name_H-M_alt 'C 1 2/m 1'
_space_group_IT_number 12
_space_group_name_Hall '-C 2y'
loop_
_atom_site_label
_atom_site_fract_x
_atom_site_fract_y
_atom_site_fract_z
Na1 0.000 0.000 0.233
Na2 0.144 0.500 0.907
Na3 0.145 0.500 0.384
Na4 0.187 0.000 0.688
Sn1 0.180 0.000 0.180
Au1 0.000 0.500 0.500
```

Computed properties:
total magnetic moment = 0.00 μB/f.u.
D(E_F) = 0.619 states/eV per atom

It is <b> that is most stable; the runner-up trails by 19 meV/atom.

<a>
Computed, not measured: NaSn3Au3 after structural relaxation at the PBE level of DFT.

CIF file:
```
data_NaSn3Au3
_chemical_formula_sum 'Na2 Sn6 Au6'
_cell_length_a 7.685
_cell_length_b 7.685
_cell_length_c 7.685
_cell_angle_alpha 90.00
_cell_angle_beta 90.00
_cell_angle_gamma 90.00
_space_group_name_H-M_alt 'P m -3 n'
_space_group_IT_number 223
_space_group_name_Hall '-P 4n 2 3'
loop_
_atom_site_label
_atom_site_fract_x
_atom_site_fract_y
_atom_site_fract_z
Na1 0.000 0.000 0.000
Sn1 0.000 0.250 0.500
Au1 0.000 0.500 0.250
```

Computed properties:
total magnetic moment = 0.00 μB/f.u.
D(E_F) = 0.801 states/eV per atom

<b>
Computed, not measured: NaSn3Au3 after structural relaxation at the PBE level of DFT.

CIF file:
```
data_NaSn3Au3
_chemical_formula_sum 'Na2 Sn6 Au6'
_cell_length_a 8.9195
_cell_length_b 8.9195
_cell_length_c 4.8352
_cell_angle_alpha 90.00
_cell_angle_beta 90.00
_cell_angle_gamma 120.00
_space_group_name_H-M_alt 'P 63/m'
_space_group_IT_number 176
_space_group_name_Hall '-P 6c'
loop_
_atom_site_label
_atom_site_fract_x
_atom_site_fract_y
_atom_site_fract_z
Na1 0.3333 0.6667 0.2500
Sn1 0.0235 0.2679 0.7500
Au1 0.0699 0.6081 0.7500
```

Computed properties:
total magnetic moment = 0.00 μB/f.u.
D(E_F) = 0.415 states/eV per atom

<c>
Computed, not measured: NaSn3Au3 after structural relaxation at the PBE level of DFT.

CIF file:
```
data_NaSn3Au3
_chemical_formula_sum 'Na6 Sn18 Au18'
_cell_length_a 8.4753
_cell_length_b 8.4753
_cell_length_c 17.2395
_cell_angle_alpha 90.00
_cell_angle_beta 90.00
_cell_angle_gamma 120.00
_space_group_name_H-M_alt 'R -3'
_space_group_IT_number 148
_space_group_name_Hall '-R 3'
loop_
_atom_site_label
_atom_site_fract_x
_atom_site_fract_y
_atom_site_fract_z
Na1 0.0000 0.0000 0.1668
Sn1 0.0019 0.6859 0.5915
Au1 0.0018 0.6550 0.4218
```

Computed properties:
total magnetic moment = 0.00 μB/f.u.
D(E_F) = 0.350 states/eV per atom

It is <c> that is most stable; the runner-up trails by 18 meV/atom.